Record 1
# ErLuRu2 PBEsol relaxed
# DFT formation energy = -0.37 eV/atom
data_ErLuRu2
_space_group_name_H-M_alt 'F m -3 m'
_space_group_IT_number 225
_space_group_name_Hall '-F 4 2 3'
_cell_length_a 6.588
_cell_length_b 6.588
_cell_length_c 6.588
_cell_angle_alpha 90.00
_cell_angle_beta 90.00
_cell_angle_gamma 90.00
loop_
_atom_site_label
_atom_site_type_symbol
_atom_site_fract_x
_atom_site_fract_y
_atom_site_fract_z
_atom_site_occupancy
Er1 Er 0.000 0.000 0.000 1
Lu1 Lu 0.000 0.000 0.500 1
Ru1 Ru 0.250 0.250 0.250 1

---

Record 2
# Ca3SF PBEsol relaxed
# Energy relative to the elements, uncorrected = -1.174 eV/atom
# Energy above the lowest structure with this stoichiometry = 0 meV/atom
data_Ca3SF
_space_group_name_H-M_alt 'P m -3 m'
_space_group_IT_number 221
_space_group_name_Hall '-P 4 2 3'
_cell_length_a 4.841
_cell_length_b 4.841
_cell_length_c 4.841
_cell_angle_alpha 90.00
_cell_angle_beta 90.00
_cell_angle_gamma 90.00
loop_
_atom_site_label
_atom_site_type_symbol
_atom_site_fract_x
_atom_site_fract_y
_atom_site_fract_z
_atom_site_occupancy
Ca1 Ca 0.000 0.000 0.500 1
S1 S 0.500 0.500 0.500 1
F1 F 0.000 0.000 0.000 1

---

Record 3
# Mn2BeO4 PBEsol relaxed
# Energy relative to the elements, uncorrected = -1.893 eV/atom
data_Mn2BeO4
_space_group_name_H-M_alt 'P n m a'
_space_group_IT_number 62
_cell_length_a 10.016
_cell_length_b 5.647
_cell_length_c 4.565
_cell_angle_alpha 90.00
_cell_angle_beta 90.00
_cell_angle_gamma 90.00
loop_
_space_group_symop_operation_xyz
'x,y,z'
'-x,-y,-z'
'-x+1/2,-y,z+1/2'
'x+1/2,y,-z+1/2'
'x+1/2,-y+1/2,-z+1/2'
'-x+1/2,y+1/2,z+1/2'
'-x,y+1/2,-z'
'x,-y+1/2,z'
loop_
_atom_site_label
_atom_site_type_symbol
_atom_site_fract_x
_atom_site_fract_y
_atom_site_fract_z
_atom_site_occupancy
Mn1 Mn 0.000 0.000 0.000 1
Mn2 Mn 0.226 0.250 0.488 1
Be1 Be 0.087 0.750 0.421 1
O1 O 0.063 0.250 0.746 1
O2 O 0.081 0.750 0.769 1
O3 O 0.156 0.522 0.249 1

---

Density of states at the Fermi level? In order: 17.06, 5.27, 9.61 states/eV per cell.